# 1
# SrCrOF2

A relaxed structure of SrCrOF2 (PBE+U, Alexandria via LeMat-Bulk).

POSCAR file:
```
SrCrOF2
1.0
-2.8622 1.5920 2.6389
-2.3634 -3.4453 -0.4850
1.9138 -1.7539 3.1338
F O Sr Cr
2 1 1 1
direct
0.5000 0.0000 0.0000
0.0000 0.5000 0.0000
0.0000 0.0000 0.5000
0.5000 0.5000 0.5000
0.0000 0.0000 0.0000
```


# 2
# SrCrOF2

A relaxed structure of SrCrOF2 (PBE+U, Alexandria via LeMat-Bulk).

POSCAR file:
```
SrCrOF2
1.0
-3.2788 3.0327 0.9122
-1.0516 0.1958 -4.4312
-3.1532 -3.5865 0.5898
F Sr O Cr
2 1 1 1
direct
0.0000 0.5000 0.0000
0.5000 0.0000 0.0000
0.0000 0.0000 0.0000
0.0000 0.0000 0.5000
0.5000 0.5000 0.5000
```


# 3
# SrCrO2F

A relaxed structure of SrCrO2F (PBE+U, Alexandria via LeMat-Bulk).

POSCAR file:
```
SrCrO2F
1.0
-0.5105 2.6662 3.7426
1.7387 -3.3735 2.6405
4.1847 1.6715 -0.6200
Cr Sr O F
1 1 2 1
direct
0.5000 0.5000 0.5000
0.0000 0.0000 0.0000
0.0000 0.5000 0.0000
0.5000 0.0000 0.0000
0.0000 0.0000 0.5000
```


# 4
# SrCrOF2

A relaxed structure of SrCrOF2 (PBE+U, Alexandria via LeMat-Bulk).

POSCAR file:
```
SrCrOF2
1.0
-0.3788 -3.1091 4.9732
2.1864 -4.6992 -2.7713
2.9150 5.0770 -0.0768
Cr F Sr O
2 4 2 2
direct
0.5000 0.5000 0.0000
0.0000 0.0000 0.0000
0.3339 0.8339 0.0001
0.6662 0.1662 0.0001
0.8339 0.6662 0.0001
0.1662 0.3339 0.0001
0.2501 0.7501 0.5002
0.7501 0.2501 0.5002
0.2500 0.2500 0.5000
0.7500 0.7500 0.5000
```


# 5
# TaCrO2F

A relaxed structure of TaCrO2F (PBE+U, Alexandria via LeMat-Bulk).

POSCAR file:
```
TaCrO2F
1.0
3.9922 0.0000 0.0000
0.0000 3.9922 0.0000
0.0000 0.0000 4.2183
F O Cr Ta
1 2 1 1
direct
0.0000 0.0000 0.5000
0.5000 0.0000 0.0000
0.0000 0.5000 0.0000
0.5000 0.5000 0.5000
0.0000 0.0000 0.0000
```


# 6
# TaCrO2F

A relaxed structure of TaCrO2F (PBE+U, Alexandria via LeMat-Bulk).

POSCAR file:
```
TaCrO2F
1.0
3.9968 0.0000 0.0000
0.0000 3.9968 0.0000
0.0000 0.0000 3.7836
Cr Ta O F
1 1 2 1
direct
0.0000 0.0000 0.0000
0.5000 0.5000 0.5000
0.0000 0.5000 0.0000
0.5000 0.0000 0.0000
0.0000 0.0000 0.5000
```


# 7
# TaCrOF2

A relaxed structure of TaCrOF2 (PBE+U, Alexandria via LeMat-Bulk).

POSCAR file:
```
TaCrOF2
1.0
4.0384 0.0000 0.0000
0.0000 4.0384 0.0000
0.0000 0.0000 4.0097
Cr O Ta F
1 1 1 2
direct
0.0000 0.0000 0.0000
0.0000 0.0000 0.5000
0.5000 0.5000 0.5000
0.5000 0.0000 0.0000
0.0000 0.5000 0.0000
```


# 8
# TaCrOF2

A relaxed structure of TaCrOF2 (PBE+U, Alexandria via LeMat-Bulk).

POSCAR file:
```
TaCrOF2
1.0
-1.5041 -2.8935 -2.8408
1.7344 -3.1979 2.3388
-3.3438 -0.2973 2.0732
F O Cr Ta
2 1 1 1
direct
0.5000 0.0000 0.0000
0.0000 0.5000 0.0000
0.0000 0.0000 0.5000
0.5000 0.5000 0.5000
0.0000 0.0000 0.0000
```


# 9
# CrTcO2F

A relaxed structure of CrTcO2F (PBE+U, Alexandria via LeMat-Bulk).

POSCAR file:
```
CrTcO2F
1.0
3.8550 0.0000 0.0000
0.0000 3.8550 0.0000
0.0000 0.0000 3.9208
Cr F Tc O
1 1 1 2
direct
0.0000 0.0000 0.0000
0.0000 0.0000 0.5000
0.5000 0.5000 0.5000
0.5000 0.0000 0.0000
0.0000 0.5000 0.0000
```


# 10
# CrTcO2F

A relaxed structure of CrTcO2F (PBE+U, Alexandria via LeMat-Bulk).

POSCAR file:
```
CrTcO2F
1.0
3.8528 0.0000 0.0000
0.0000 4.3067 0.0000
0.0000 0.0000 3.8528
Cr O Tc F
1 2 1 1
direct
0.5000 0.5000 0.5000
0.5000 0.0000 0.0000
0.0000 0.0000 0.5000
0.0000 0.0000 0.0000
0.0000 0.5000 0.0000
```


# 11
# CrTeO2F

A relaxed structure of CrTeO2F (PBE+U, Alexandria via LeMat-Bulk).

POSCAR file:
```
CrTeO2F
1.0
4.1818 0.0000 0.0000
0.0000 4.1818 0.0000
0.0000 0.0000 4.5102
F O Cr Te
1 2 1 1
direct
0.0000 0.0000 0.5000
0.0000 0.5000 0.0000
0.5000 0.0000 0.0000
0.5000 0.5000 0.5000
0.0000 0.0000 0.0000
```


# 12
# CrTeO2F

A relaxed structure of CrTeO2F (PBE+U, Alexandria via LeMat-Bulk).

POSCAR file:
```
CrTeO2F
1.0
-2.0620 2.9252 1.8857
-0.1306 -2.2553 3.3558
3.3544 1.5911 1.1998
F O Te Cr
1 2 1 1
direct
0.0000 0.0000 0.5000
0.0000 0.5000 0.0000
0.5000 0.0000 0.0000
0.5000 0.5000 0.5000
0.0000 0.0000 0.0000
```


Which DFT total energy belongs to each record? In order, -0.456, -0.393, -0.383, -0.465, -0.594, -0.519, -0.469, -0.531, -0.469, -0.515, -0.387, -0.407 Ry/atom.